A plane-wave DFT calculation with PBE-GGA was carried out for a geometry-optimized CaLaCu2 structure.

The value obtained for the formation enthalpy at 0 K is -14 meV/atom.

The structure belongs to space group Cm (No. 8); the cell edges are 11.042, 3.456 and 5.074 Å and the angles 90.00°, 108.23° and 90.00°. The distinct sites, in fractional coordinates, are Ca at (0.000, 0.000, 0.000), La at (0.297, 0.500, 0.361), Cu at (0.057, 0.500, 0.559) and Cu at (0.229, 0.000, 0.803).

***

A plane-wave DFT calculation with PBE-GGA was carried out for a geometry-optimized Li2CaLaCu structure.

The value obtained for the formation enthalpy at 0 K is 137 meV/atom.

The structure belongs to space group P4/mmm (No. 123); the cell edges are 5.177, 5.177 and 5.317 Å and the angles 90.00°, 90.00° and 90.00°. The distinct sites, in fractional coordinates, are Li at (0.000, 0.500, 0.000), Ca at (0.000, 0.000, 0.500), La at (0.500, 0.500, 0.500) and Cu at (0.500, 0.500, 0.000).

***

A plane-wave DFT calculation with PBE-GGA was carried out for a geometry-optimized CaLa2MgCu structure.

The value obtained for the formation enthalpy at 0 K is 56 meV/atom.

The structure belongs to space group P4/mmm (No. 123); the cell edges are 5.666, 5.666 and 5.023 Å and the angles 90.00°, 90.00° and 90.00°. The distinct sites, in fractional coordinates, are Ca at (0.000, 0.000, 0.000), La at (0.000, 0.500, 0.500), Mg at (0.500, 0.500, 0.000) and Cu at (0.500, 0.500, 0.500).

***

A plane-wave DFT calculation with PBE-GGA was carried out for a geometry-optimized Ca2LaMgCu structure.

The value obtained for the formation enthalpy at 0 K is 835 meV/atom. The offset from the most stable computed form is 372 kJ/mol of formula units.

The structure belongs to space group P4/mmm (No. 123); the cell edges are 6.118, 6.118 and 5.005 Å and the angles 90.00°, 90.00° and 90.00°. The distinct sites, in fractional coordinates, are Ca at (0.000, 0.500, 0.000), La at (0.000, 0.000, 0.000), Mg at (0.500, 0.500, 0.500) and Cu at (0.000, 0.000, 0.500).

***

A plane-wave DFT calculation with PBE-GGA was carried out for a geometry-optimized CaLaMg2Cu structure.

The value obtained for the formation enthalpy at 0 K is 14 meV/atom. The offset from the most stable computed form is 0 kJ/mol of formula units.

The structure belongs to space group P4/mmm (No. 123); the cell edges are 5.230, 5.230 and 5.330 Å and the angles 90.00°, 90.00° and 90.00°. The distinct sites, in fractional coordinates, are Ca at (0.000, 0.000, 0.000), La at (0.500, 0.500, 0.000), Mg at (0.000, 0.500, 0.500) and Cu at (0.500, 0.500, 0.500).

***

A plane-wave DFT calculation with PBE-GGA was carried out for a geometry-optimized Ca2LaMgCu structure.

The value obtained for the formation enthalpy at 0 K is 65 meV/atom. The offset from the most stable computed form is 0 kJ/mol of formula units.

The structure belongs to space group P4/mmm (No. 123); the cell edges are 5.628, 5.628 and 5.487 Å and the angles 90.00°, 90.00° and 90.00°. The distinct sites, in fractional coordinates, are Ca at (0.000, 0.500, 0.000), La at (0.000, 0.000, 0.500), Mg at (0.500, 0.500, 0.500) and Cu at (0.000, 0.000, 0.000).

***

A plane-wave DFT calculation with PBE-GGA was carried out for a geometry-optimized CaLaMg2Cu structure.

The value obtained for the formation enthalpy at 0 K is 46 meV/atom. The offset from the most stable computed form is 16 kJ/mol of formula units.

The structure belongs to space group P4/mmm (No. 123); the cell edges are 5.100, 5.100 and 5.341 Å and the angles 90.00°, 90.00° and 90.00°. The distinct sites, in fractional coordinates, are Ca at (0.000, 0.000, 0.000), La at (0.500, 0.500, 0.000), Mg at (0.000, 0.500, 0.500) and Cu at (0.000, 0.000, 0.500).

***

A plane-wave DFT calculation with PBE-GGA was carried out for a geometry-optimized Ca2LaMgCu structure.

The value obtained for the formation enthalpy at 0 K is 93 meV/atom. The offset from the most stable computed form is 13 kJ/mol of formula units.

The structure belongs to space group P4/mmm (No. 123); the cell edges are 5.516, 5.516 and 5.203 Å and the angles 90.00°, 90.00° and 90.00°. The distinct sites, in fractional coordinates, are Ca at (0.000, 0.500, 0.000), La at (0.000, 0.000, 0.500), Mg at (0.500, 0.500, 0.500) and Cu at (0.500, 0.500, 0.000).

***

A plane-wave DFT calculation with PBE-GGA was carried out for a geometry-optimized CaLa2CuN structure.

The uncorrected formation energy is -0.47 eV/atom.

The structure belongs to space group P4/mmm (No. 123); the cell edges are 5.060, 5.060 and 4.813 Å and the angles 90.00°, 90.00° and 90.00°. The distinct sites, in fractional coordinates, are Ca at (0.000, 0.000, 0.000), La at (0.000, 0.500, 0.500), Cu at (0.500, 0.500, 0.000) and N at (0.000, 0.000, 0.500).

***

A plane-wave DFT calculation with PBE-GGA was carried out for a geometry-optimized NaCaLa2Cu structure.

The value obtained for the formation enthalpy at 0 K is 136 meV/atom.

The structure belongs to space group P4/mmm (No. 123); the cell edges are 5.659, 5.659 and 5.833 Å and the angles 90.00°, 90.00° and 90.00°. The distinct sites, in fractional coordinates, are Na at (0.000, 0.000, 0.000), Ca at (0.500, 0.500, 0.000), La at (0.000, 0.500, 0.500) and Cu at (0.500, 0.500, 0.500).

***

A plane-wave DFT calculation with PBE-GGA was carried out for a geometry-optimized NaCa2LaCu structure.

The value obtained for the formation enthalpy at 0 K is 566 meV/atom. The offset from the most stable computed form is 246 kJ/mol of formula units.

The structure belongs to space group P4/mmm (No. 123); the cell edges are 5.875, 5.875 and 4.893 Å and the angles 90.00°, 90.00° and 90.00°. The distinct sites, in fractional coordinates, are Na at (0.000, 0.000, 0.000), Ca at (0.000, 0.500, 0.000), La at (0.500, 0.500, 0.500) and Cu at (0.000, 0.000, 0.500).

***

A plane-wave DFT calculation with PBE-GGA was carried out for a geometry-optimized NaCa2LaCu structure.

The value obtained for the formation enthalpy at 0 K is 55 meV/atom. The offset from the most stable computed form is 0 kJ/mol of formula units.

The structure belongs to space group P4/mmm (No. 123); the cell edges are 5.785, 5.785 and 5.531 Å and the angles 90.00°, 90.00° and 90.00°. The distinct sites, in fractional coordinates, are Na at (0.000, 0.000, 0.000), Ca at (0.000, 0.500, 0.500), La at (0.500, 0.500, 0.000) and Cu at (0.500, 0.500, 0.500).

***

A plane-wave DFT calculation with PBE-GGA was carried out for a geometry-optimized CaLa2Cu2O7 structure.

The uncorrected formation energy is -2.11 eV/atom.

The structure belongs to space group I4/mmm (No. 139); the cell edges are 3.834, 3.834 and 20.498 Å and the angles 90.00°, 90.00° and 90.00°. The distinct sites, in fractional coordinates, are Ca at (0.000, 0.000, 0.000), La at (0.000, 0.000, 0.179), Cu at (0.000, 0.000, 0.406), O at (0.000, 0.000, 0.296), O at (0.000, 0.000, 0.500) and O at (0.000, 0.500, 0.099).

***

A plane-wave DFT calculation with PBE-GGA was carried out for a geometry-optimized CaLa2Cu2O6 structure.

The uncorrected formation energy is -2.00 eV/atom.

The structure belongs to space group R-3m (No. 166, hexagonal axes); the cell edges are 5.8912, 5.8912 and 17.5404 Å and the angles 90.00°, 90.00° and 120.00°. The distinct sites, in fractional coordinates, are Ca at (0.0000, 0.0000, 0.0000), La at (0.0000, 0.0000, 0.1976), Cu at (0.0000, 0.0000, 0.4249) and O at (0.0287, 0.5143, 0.7651).

***

A plane-wave DFT calculation with PBE-GGA was carried out for a geometry-optimized CaLa2CuO structure.

The uncorrected formation energy is -1.06 eV/atom.

The structure belongs to space group P4/mmm (No. 123); the cell edges are 5.079, 5.079 and 4.635 Å and the angles 90.00°, 90.00° and 90.00°. The distinct sites, in fractional coordinates, are Ca at (0.000, 0.000, 0.000), La at (0.000, 0.500, 0.500), Cu at (0.500, 0.500, 0.000) and O at (0.000, 0.000, 0.500).

***

A plane-wave DFT calculation with PBE-GGA was carried out for a geometry-optimized Ca2La2Cu3O8 structure.

The uncorrected formation energy is -2.06 eV/atom.

The structure belongs to space group I4/mmm (No. 139); the cell edges are 3.906, 3.906 and 26.452 Å and the angles 90.00°, 90.00° and 90.00°. The distinct sites, in fractional coordinates, are Ca at (0.000, 0.000, 0.204), La at (0.000, 0.000, 0.069), Cu at (0.000, 0.000, 0.363), Cu at (0.000, 0.000, 0.500), O at (0.000, 0.000, 0.286), O at (0.000, 0.500, 0.000) and O at (0.000, 0.500, 0.123).

***

A plane-wave DFT calculation with PBE-GGA was carried out for a geometry-optimized CaLaCu2O5 structure.

The uncorrected formation energy is -1.85 eV/atom.

The structure belongs to space group P4/mmm (No. 123); the cell edges are 3.854, 3.854 and 7.103 Å and the angles 90.00°, 90.00° and 90.00°. The distinct sites, in fractional coordinates, are Ca at (0.000, 0.000, 0.000), La at (0.000, 0.000, 0.500), Cu at (0.500, 0.500, 0.217), O at (0.000, 0.500, 0.221) and O at (0.500, 0.500, 0.500).

***

A plane-wave DFT calculation with PBE-GGA was carried out for a geometry-optimized Sr4CaLaTl2Cu4O14 structure.

The uncorrected formation energy is -1.77 eV/atom.

The structure belongs to space group I4/mmm (No. 139); the cell edges are 5.403, 5.403 and 24.748 Å and the angles 90.00°, 90.00° and 90.00°. The distinct sites, in fractional coordinates, are Sr at (0.000, 0.000, 0.146), Sr at (0.000, 0.000, 0.351), Ca at (0.000, 0.000, 0.000), La at (0.000, 0.000, 0.500), Tl at (0.000, 0.500, 0.250), Cu at (0.000, 0.500, 0.073), O at (0.000, 0.000, 0.250), O at (0.000, 0.500, 0.165) and O at (0.249, 0.249, 0.065).

***

A plane-wave DFT calculation with PBE-GGA was carried out for a geometry-optimized CaLaCu2Pd2 structure.

The value obtained for the formation enthalpy at 0 K is -493 meV/atom.

The structure belongs to space group P-3m1 (No. 164); the cell edges are 4.4127, 4.4127 and 7.5287 Å and the angles 90.00°, 90.00° and 120.00°. The distinct sites, in fractional coordinates, are Ca at (0.0000, 0.0000, 0.0000), La at (0.0000, 0.0000, 0.5000), Cu at (0.3333, 0.6667, 0.7608) and Pd at (0.3333, 0.6667, 0.2528).

***

A plane-wave DFT calculation with PBE-GGA was carried out for a geometry-optimized CaLaCuPt structure.

The value obtained for the formation enthalpy at 0 K is -670 meV/atom.

The structure belongs to space group Amm2 (No. 38); the cell edges are 4.335, 4.089 and 11.116 Å and the angles 90.00°, 90.00° and 90.00°. The distinct sites, in fractional coordinates, are Ca at (0.000, 0.000, 0.000), La at (0.500, 0.000, 0.277), Cu at (0.500, 0.000, 0.570) and Pt at (0.000, 0.000, 0.718).

***

The calculation returns the following total magnetic moment values, one per record and in order: 0.00 0.00 0.00 0.00 0.00 0.51 0.00 0.00 0.00 0.00 0.00 0.00 0.08 6.16 0.00 0.00 0.00 0.00 0.00 0.00 Bohr magnetons per cell.